(1)
First-principles (PBE) data for a relaxed Nb4TcW3 crystal, as listed in the Alexandria database.

The spin magnetization comes out at 0.00 μB/f.u. The value obtained for the energy of formation from the pure elements is -128 meV per atom. For the density of states at the Fermi level, the calculation gives 0.4736 states/eV/atom.

The space group is P4/mmm (No. 123) and the conventional cell measures 3.228, 3.228 and 12.956 Å, with angles of 90.00, 90.00 and 90.00 degrees. The inequivalent atoms are Nb at (0.000, 0.000, 0.122), Nb at (0.000, 0.000, 0.374), Tc at (0.500, 0.500, 0.000), W at (0.500, 0.500, 0.249) and W at (0.500, 0.500, 0.500).



(2)
First-principles (PBE) data for a relaxed Nb3TcW crystal, as listed in the Alexandria database.

The spin magnetization comes out at 0.00 μB/f.u. The value obtained for the energy of formation from the pure elements is -188 meV per atom. The relative energy among the computed polymorphs is 0 meV per atom. For the density of states at the Fermi level, the calculation gives 0.4278 states/eV/atom.

The space group is Cmc2_1 (No. 36) and the conventional cell measures 4.574, 16.275 and 4.561 Å, with angles of 90.00, 90.00 and 90.00 degrees. The inequivalent atoms are Nb at (0.000, 0.054, 0.000), Nb at (0.000, 0.250, 0.000), Nb at (0.000, 0.446, 0.004), Tc at (0.000, 0.350, 0.502) and W at (0.000, 0.150, 0.499).



(3)
First-principles (PBE) data for a relaxed Nb6TcW2 crystal, as listed in the Alexandria database.

The spin magnetization comes out at 0.00 μB/f.u. The value obtained for the energy of formation from the pure elements is 104 meV per atom. The relative energy among the computed polymorphs is 0 meV per atom. For the density of states at the Fermi level, the calculation gives 0.8164 states/eV/atom.

The space group is C2/m (No. 12) and the conventional cell measures 13.931, 8.252 and 2.737 Å, with angles of 90.00, 93.51 and 90.00 degrees. The inequivalent atoms are Nb at (0.000, 0.170, 0.000), Nb at (0.166, 0.330, 0.809), Tc at (0.000, 0.500, 0.500) and W at (0.170, 0.000, 0.493).



(4)
First-principles (PBE) data for a relaxed NbTcW2 crystal, as listed in the Alexandria database.

The spin magnetization comes out at 0.00 μB/f.u. The value obtained for the energy of formation from the pure elements is -88 meV per atom. The relative energy among the computed polymorphs is 0 meV per atom. For the density of states at the Fermi level, the calculation gives 0.6215 states/eV/atom.

The space group is Immm (No. 71) and the conventional cell measures 3.189, 4.485 and 9.082 Å, with angles of 90.00, 90.00 and 90.00 degrees. The inequivalent atoms are Nb at (0.000, 0.000, 0.000), Tc at (0.000, 0.000, 0.500) and W at (0.000, 0.500, 0.249).